[1]
Material: KVSb2Br
Method: DFT, PBE
State: relaxed

```
KVSb2Br
1.0
-0.552 -3.302 3.842
5.126 2.026 2.477
-2.641 3.486 2.616
Br V K Sb
1 1 1 2
Direct
0.000 0.500 0.000
0.000 0.000 0.000
0.500 0.500 0.500
0.500 0.000 0.000
0.000 0.000 0.500
```

Summary:
formation energy without anion corrections	-0.256	eV per atom
Fermi-level density of states	2.54	states/eV/f.u.
volume	31.4	Å³/atom
crystal system	tetragonal
space-group type	P4/mmm, No. 123
magnetic moment	0.131	μB/atom

=====

[2]
Material: Tb2GeIr
Method: DFT, PBE
State: relaxed

```
Tb2GeIr
1.0
3.390 0.000 0.000
0.000 3.390 0.000
0.000 0.000 7.619
Tb Ir Ge
2 1 1
Direct
0.000 0.000 0.231
0.000 0.000 0.769
0.500 0.500 0.000
0.500 0.500 0.500
```

Summary:
Fermi-level density of states	1.81	states/eV/f.u.
volume	21.9	Å³/atom
formation energy from the elements	-0.729	eV per atom
crystal system	tetragonal
space-group type	P4/mmm, No. 123
magnetic moment	0.000	μB/atom

=====

[3]
Material: Lu2TcAg
Method: DFT, PBE
State: relaxed

```
Lu2TcAg
1.0
-0.383 -3.445 -3.418
-0.290 -4.686 1.288
-4.186 -2.423 -0.556
Ag Tc Lu
1 1 2
Direct
0.500 0.500 0.500
0.000 0.000 0.000
0.750 0.750 0.750
0.250 0.250 0.250
```

Summary:
Fermi-level density of states	1.93	states/eV/f.u.
E above lowest polymorph	0.070	eV/atom
volume	20.4	Å³/atom
formation energy from the elements	-0.200	eV per atom
crystal system	cubic
space-group type	Fm-3m, No. 225
magnetic moment	0.000	μB/atom